A plane-wave DFT calculation with PBE was carried out for a geometry-optimized KNiAu2 structure.

The structure in CIF format:
```
data_KNiAu2
_space_group_name_H-M_alt 'P 4/m m m'
_space_group_IT_number 123
_space_group_name_Hall '-P 4 2'
_cell_length_a 5.300
_cell_length_b 5.300
_cell_length_c 2.824
_cell_angle_alpha 90.00
_cell_angle_beta 90.00
_cell_angle_gamma 90.00
loop_
_atom_site_label
_atom_site_type_symbol
_atom_site_fract_x
_atom_site_fract_y
_atom_site_fract_z
_atom_site_occupancy
K1 K 0.000 0.000 0.000 1
Ni1 Ni 0.500 0.500 0.000 1
Au1 Au 0.000 0.500 0.500 1
```

Output
- formation energy (eV per atom) = 0.317
- energy (eV per atom) = -3.041
- excess energy over the best structure of this formula in the dataset (eV/f.u.) = 0.97

A plane-wave DFT calculation with PBE was carried out for a geometry-optimized K2NiAu2 structure.

The structure in CIF format:
```
data_K2NiAu2
_space_group_name_H-M_alt 'P 4/m b m'
_space_group_IT_number 127
_space_group_name_Hall '-P 4 2ab'
_cell_length_a 6.801
_cell_length_b 6.801
_cell_length_c 5.374
_cell_angle_alpha 90.00
_cell_angle_beta 90.00
_cell_angle_gamma 90.00
loop_
_atom_site_label
_atom_site_type_symbol
_atom_site_fract_x
_atom_site_fract_y
_atom_site_fract_z
_atom_site_occupancy
K1 K 0.174 0.326 0.000 1
Ni1 Ni 0.000 0.000 0.500 1
Au1 Au 0.148 0.648 0.500 1
```

Output
- formation energy (eV per atom) = 0.053
- energy (eV per atom) = -2.853

A plane-wave DFT calculation with PBE was carried out for a geometry-optimized KNiAu2 structure.

The structure in CIF format:
```
data_KNiAu2
_space_group_name_H-M_alt 'I -4 m 2'
_space_group_IT_number 119
_space_group_name_Hall 'I -4 -2'
_cell_length_a 4.248
_cell_length_b 4.248
_cell_length_c 8.789
_cell_angle_alpha 90.00
_cell_angle_beta 90.00
_cell_angle_gamma 90.00
loop_
_atom_site_label
_atom_site_type_symbol
_atom_site_fract_x
_atom_site_fract_y
_atom_site_fract_z
_atom_site_occupancy
K1 K 0.000 0.000 0.000 1
Ni1 Ni 0.000 0.500 0.750 1
Au1 Au 0.000 0.000 0.500 1
Au2 Au 0.000 0.500 0.250 1
```

Output
- formation energy (eV per atom) = 0.405
- energy (eV per atom) = -2.953
- excess energy over the best structure of this formula in the dataset (eV/f.u.) = 1.32

A plane-wave DFT calculation with PBE was carried out for a geometry-optimized K2NiAu structure.

The structure in CIF format:
```
data_K2NiAu
_space_group_name_H-M_alt 'I -4 2 d'
_space_group_IT_number 122
_space_group_name_Hall 'I -4 2bw'
_cell_length_a 10.937
_cell_length_b 10.937
_cell_length_c 4.881
_cell_angle_alpha 90.00
_cell_angle_beta 90.00
_cell_angle_gamma 90.00
loop_
_atom_site_label
_atom_site_type_symbol
_atom_site_fract_x
_atom_site_fract_y
_atom_site_fract_z
_atom_site_occupancy
K1 K 0.096 0.250 0.125 1
Ni1 Ni 0.000 0.000 0.000 1
Au1 Au 0.000 0.000 0.500 1
```

Output
- formation energy (eV per atom) = 0.273
- energy (eV per atom) = -2.541
- excess energy over the best structure of this formula in the dataset (eV/f.u.) = 0.77

A plane-wave DFT calculation with PBE was carried out for a geometry-optimized KNi2Au structure.

The structure in CIF format:
```
data_KNi2Au
_space_group_name_H-M_alt 'P 4/m m m'
_space_group_IT_number 123
_space_group_name_Hall '-P 4 2'
_cell_length_a 4.907
_cell_length_b 4.907
_cell_length_c 2.778
_cell_angle_alpha 90.00
_cell_angle_beta 90.00
_cell_angle_gamma 90.00
loop_
_atom_site_label
_atom_site_type_symbol
_atom_site_fract_x
_atom_site_fract_y
_atom_site_fract_z
_atom_site_occupancy
K1 K 0.000 0.000 0.000 1
Ni1 Ni 0.000 0.500 0.500 1
Au1 Au 0.500 0.500 0.000 1
```

Output
- formation energy (eV per atom) = 0.683
- energy (eV per atom) = -3.301
- excess energy over the best structure of this formula in the dataset (eV/f.u.) = 1.53

A plane-wave DFT calculation with PBE was carried out for a geometry-optimized K2NiAu structure.

The structure in CIF format:
```
data_K2NiAu
_space_group_name_H-M_alt 'R -3 m'
_space_group_IT_number 166
_space_group_name_Hall '-R 3 2"'
_cell_length_a 4.7085
_cell_length_b 4.7085
_cell_length_c 24.7918
_cell_angle_alpha 90.00
_cell_angle_beta 90.00
_cell_angle_gamma 120.00
loop_
_atom_site_label
_atom_site_type_symbol
_atom_site_fract_x
_atom_site_fract_y
_atom_site_fract_z
_atom_site_occupancy
K1 K 0.0000 0.0000 0.2476 1
Ni1 Ni 0.0000 0.0000 0.0000 1
Au1 Au 0.0000 0.0000 0.5000 1
```

Output
- formation energy (eV per atom) = 0.499
- energy (eV per atom) = -2.315
- excess energy over the best structure of this formula in the dataset (eV/f.u.) = 1.67

A plane-wave DFT calculation with PBE was carried out for a geometry-optimized KNi2Au structure.

The structure in CIF format:
```
data_KNi2Au
_space_group_name_H-M_alt 'P 4/m m m'
_space_group_IT_number 123
_space_group_name_Hall '-P 4 2'
_cell_length_a 4.272
_cell_length_b 4.272
_cell_length_c 3.803
_cell_angle_alpha 90.00
_cell_angle_beta 90.00
_cell_angle_gamma 90.00
loop_
_atom_site_label
_atom_site_type_symbol
_atom_site_fract_x
_atom_site_fract_y
_atom_site_fract_z
_atom_site_occupancy
K1 K 0.000 0.000 0.000 1
Ni1 Ni 0.000 0.500 0.500 1
Au1 Au 0.500 0.500 0.000 1
```

Output
- formation energy (eV per atom) = 0.731
- energy (eV per atom) = -3.254
- excess energy over the best structure of this formula in the dataset (eV/f.u.) = 1.72

A plane-wave DFT calculation with PBE was carried out for a geometry-optimized K2NiAu structure.

The structure in CIF format:
```
data_K2NiAu
_space_group_name_H-M_alt 'C m m m'
_space_group_IT_number 65
_space_group_name_Hall '-C 2 2'
_cell_length_a 5.789
_cell_length_b 8.736
_cell_length_c 4.282
_cell_angle_alpha 90.00
_cell_angle_beta 90.00
_cell_angle_gamma 90.00
loop_
_atom_site_label
_atom_site_type_symbol
_atom_site_fract_x
_atom_site_fract_y
_atom_site_fract_z
_atom_site_occupancy
K1 K 0.250 0.250 0.000 1
Ni1 Ni 0.000 0.000 0.500 1
Au1 Au 0.000 0.500 0.500 1
```

Output
- formation energy (eV per atom) = 0.381
- energy (eV per atom) = -2.433
- excess energy over the best structure of this formula in the dataset (eV/f.u.) = 1.20

A plane-wave DFT calculation with PBE was carried out for a geometry-optimized KNiAu2 structure.

The structure in CIF format:
```
data_KNiAu2
_space_group_name_H-M_alt 'P 4 m m'
_space_group_IT_number 99
_cell_length_a 3.406
_cell_length_b 3.406
_cell_length_c 7.612
_cell_angle_alpha 90.00
_cell_angle_beta 90.00
_cell_angle_gamma 90.00
loop_
_space_group_symop_operation_xyz
'x,y,z'
'-y,x,z'
'-x,-y,z'
'y,-x,z'
'-x,y,z'
'y,x,z'
'x,-y,z'
'-y,-x,z'
loop_
_atom_site_label
_atom_site_type_symbol
_atom_site_fract_x
_atom_site_fract_y
_atom_site_fract_z
_atom_site_occupancy
K1 K 0.000 0.000 0.000 1
Ni1 Ni 0.500 0.500 0.334 1
Au1 Au 0.000 0.000 0.452 1
Au2 Au 0.500 0.500 0.682 1
```

Output
- formation energy (eV per atom) = 0.231
- energy (eV per atom) = -3.128
- excess energy over the best structure of this formula in the dataset (eV/f.u.) = 0.62

A plane-wave DFT calculation with PBE was carried out for a geometry-optimized KNi2Au structure.

The structure in CIF format:
```
data_KNi2Au
_space_group_name_H-M_alt 'I m m m'
_space_group_IT_number 71
_space_group_name_Hall '-I 2 2'
_cell_length_a 2.755
_cell_length_b 5.289
_cell_length_c 10.357
_cell_angle_alpha 90.00
_cell_angle_beta 90.00
_cell_angle_gamma 90.00
loop_
_atom_site_label
_atom_site_type_symbol
_atom_site_fract_x
_atom_site_fract_y
_atom_site_fract_z
_atom_site_occupancy
K1 K 0.000 0.000 0.000 1
Ni1 Ni 0.000 0.500 0.217 1
Au1 Au 0.000 0.000 0.500 1
```

Output
- formation energy (eV per atom) = 0.598
- energy (eV per atom) = -3.387
- excess energy over the best structure of this formula in the dataset (eV/f.u.) = 1.19

A plane-wave DFT calculation with PBE was carried out for a geometry-optimized KNi4Au structure.

The structure in CIF format:
```
data_KNi4Au
_space_group_name_H-M_alt 'F -4 3 m'
_space_group_IT_number 216
_space_group_name_Hall 'F -4 2 3'
_cell_length_a 7.122
_cell_length_b 7.122
_cell_length_c 7.122
_cell_angle_alpha 90.00
_cell_angle_beta 90.00
_cell_angle_gamma 90.00
loop_
_atom_site_label
_atom_site_type_symbol
_atom_site_fract_x
_atom_site_fract_y
_atom_site_fract_z
_atom_site_occupancy
K1 K 0.000 0.000 0.000 1
Ni1 Ni 0.124 0.124 0.624 1
Au1 Au 0.250 0.250 0.250 1
```

Output
- formation energy (eV per atom) = 0.452
- energy (eV per atom) = -4.131

A plane-wave DFT calculation with PBE was carried out for a geometry-optimized KNi2Au structure.

The structure in CIF format:
```
data_KNi2Au
_space_group_name_H-M_alt 'I -4 m 2'
_space_group_IT_number 119
_space_group_name_Hall 'I -4 -2'
_cell_length_a 4.108
_cell_length_b 4.108
_cell_length_c 8.452
_cell_angle_alpha 90.00
_cell_angle_beta 90.00
_cell_angle_gamma 90.00
loop_
_atom_site_label
_atom_site_type_symbol
_atom_site_fract_x
_atom_site_fract_y
_atom_site_fract_z
_atom_site_occupancy
K1 K 0.000 0.000 0.000 1
Ni1 Ni 0.000 0.000 0.500 1
Ni2 Ni 0.000 0.500 0.750 1
Au1 Au 0.000 0.500 0.250 1
```

Output
- formation energy (eV per atom) = 0.767
- energy (eV per atom) = -3.218
- excess energy over the best structure of this formula in the dataset (eV/f.u.) = 1.86